1.
## LiOs (GGA-PBE)

Data for an optimized crystal structure of LiOs.

Calculated values
magnetization = 1.151 μB/cell
energy of formation = 4.19 eV per formula unit
calculated total energy = -4.476 eV/atom

Cell lengths 3.9907, 3.9907, 4.4885 Å; angles 90.00, 90.00, 120.00 degrees
Space group P6_3/mmc (No. 194)
Symmetry-distinct sites (fractional):
Li 0.3333 0.6667 0.2500 [2 per cell]
Os 0.3333 0.6667 0.7500 [2 per cell]


2.
## LiOs (GGA-PBE)

Data for an optimized crystal structure of LiOs.

Calculated values
magnetization = 0.004 μB/cell
energy of formation = 0.44 eV per formula unit
calculated total energy = -6.351 eV/atom

Cell lengths 2.6447, 2.6447, 13.7923 Å; angles 90.00, 90.00, 120.00 degrees
Space group R-3m (No. 166, hexagonal axes)
Symmetry-distinct sites (fractional):
Li 0.0000 0.0000 0.0000 [3 per cell]
Os 0.0000 0.0000 0.5000 [3 per cell]


3.
## LiPOs2 (GGA-PBE)

Data for an optimized crystal structure of LiPOs2.

Calculated values
magnetization = 0.000 μB/cell
energy of formation = 0.97 eV per formula unit
calculated total energy = -7.203 eV/atom

Cell lengths 7.2468, 7.2468, 4.6407 Å; angles 90.00, 90.00, 90.00 degrees
Space group I-42d (No. 122)
Symmetry-distinct sites (fractional):
Li 0.0000 0.0000 0.0000 [4 per cell]
P 0.0000 0.0000 0.5000 [4 per cell]
Os 0.1674 0.2500 0.6250 [8 per cell]


| no. | mass density (g/cm³) |
| --- | --- |
| 1 | 10.6 |
| 2 | 11.8 |
| 3 | 11.4 |